[1]
# VCuIO2 | the Alexandria database | PBE with a Hubbard U | relaxed
data_VCuIO2
_cell_length_a 3.7573
_cell_length_b 3.7573
_cell_length_c 5.9878
_cell_angle_alpha 90.00
_cell_angle_beta 90.00
_cell_angle_gamma 90.00
_symmetry_space_group_name_H-M 'P 4/m m m'
_symmetry_Int_Tables_number 123
_symmetry_space_group_name_Hall '-P 4 2'
loop_
_atom_site_label
_atom_site_fract_x
_atom_site_fract_y
_atom_site_fract_z
V1 0.0000 0.0000 0.0000
Cu1 0.5000 0.5000 0.5000
I1 0.0000 0.0000 0.5000
O1 0.0000 0.5000 0.0000
# Total magnetic moment in μB/cell: 0.90
# Fermi-level density of states in states/eV per cell: 1.254
# Energy relative to the lowest polymorph listed for this composition in meV/atom: 0.0

=====

[2]
# VCuI2O | the Alexandria database | PBE with a Hubbard U | relaxed
data_VCuI2O
_cell_length_a 5.6174
_cell_length_b 5.6174
_cell_length_c 3.6426
_cell_angle_alpha 90.00
_cell_angle_beta 90.00
_cell_angle_gamma 90.00
_symmetry_space_group_name_H-M 'P 4/m m m'
_symmetry_Int_Tables_number 123
_symmetry_space_group_name_Hall '-P 4 2'
loop_
_atom_site_label
_atom_site_fract_x
_atom_site_fract_y
_atom_site_fract_z
V1 0.0000 0.0000 0.0000
Cu1 0.5000 0.5000 0.5000
I1 0.0000 0.5000 0.5000
O1 0.5000 0.5000 0.0000
# Total magnetic moment in μB/cell: 2.55
# Fermi-level density of states in states/eV per cell: 5.344
# Energy relative to the lowest polymorph listed for this composition in meV/atom: 493.2

=====

[3]
# VCuIO2 | the Alexandria database | PBE with a Hubbard U | relaxed
data_VCuIO2
_cell_length_a 3.9496
_cell_length_b 3.9496
_cell_length_c 5.2495
_cell_angle_alpha 90.00
_cell_angle_beta 90.00
_cell_angle_gamma 90.00
_symmetry_space_group_name_H-M 'P 4/m m m'
_symmetry_Int_Tables_number 123
_symmetry_space_group_name_Hall '-P 4 2'
loop_
_atom_site_label
_atom_site_fract_x
_atom_site_fract_y
_atom_site_fract_z
V1 0.0000 0.0000 0.0000
Cu1 0.5000 0.5000 0.5000
I1 0.5000 0.5000 0.0000
O1 0.0000 0.5000 0.5000
# Total magnetic moment in μB/cell: 3.56
# Fermi-level density of states in states/eV per cell: 2.843
# Energy relative to the lowest polymorph listed for this composition in meV/atom: 951.9

=====

[4]
# VCuI2O | the Alexandria database | PBE with a Hubbard U | relaxed
data_VCuI2O
_cell_length_a 6.0719
_cell_length_b 6.0719
_cell_length_c 3.6115
_cell_angle_alpha 90.00
_cell_angle_beta 90.00
_cell_angle_gamma 90.00
_symmetry_space_group_name_H-M 'P 4/m m m'
_symmetry_Int_Tables_number 123
_symmetry_space_group_name_Hall '-P 4 2'
loop_
_atom_site_label
_atom_site_fract_x
_atom_site_fract_y
_atom_site_fract_z
V1 0.0000 0.0000 0.0000
Cu1 0.5000 0.5000 0.0000
I1 0.0000 0.5000 0.5000
O1 0.0000 0.0000 0.5000
# Total magnetic moment in μB/cell: 0.00
# Fermi-level density of states in states/eV per cell: 0.701
# Energy relative to the lowest polymorph listed for this composition in meV/atom: 432.7

=====

[5]
# VCuI2O | the Alexandria database | PBE with a Hubbard U | relaxed
data_VCuI2O
_cell_length_a 5.6460
_cell_length_b 5.6460
_cell_length_c 3.6951
_cell_angle_alpha 90.00
_cell_angle_beta 90.00
_cell_angle_gamma 90.00
_symmetry_space_group_name_H-M 'P 4/m m m'
_symmetry_Int_Tables_number 123
_symmetry_space_group_name_Hall '-P 4 2'
loop_
_atom_site_label
_atom_site_fract_x
_atom_site_fract_y
_atom_site_fract_z
V1 0.0000 0.0000 0.0000
Cu1 0.5000 0.5000 0.5000
I1 0.0000 0.5000 0.0000
O1 0.0000 0.0000 0.5000
# Total magnetic moment in μB/cell: 1.86
# Fermi-level density of states in states/eV per cell: 2.152
# Energy relative to the lowest polymorph listed for this composition in meV/atom: 0.0

=====

[6]
# CuWI2O | the Alexandria database | PBE with a Hubbard U | relaxed
data_CuWI2O
_cell_length_a 5.8749
_cell_length_b 5.8749
_cell_length_c 3.8756
_cell_angle_alpha 90.00
_cell_angle_beta 90.00
_cell_angle_gamma 90.00
_symmetry_space_group_name_H-M 'P 4/m m m'
_symmetry_Int_Tables_number 123
_symmetry_space_group_name_Hall '-P 4 2'
loop_
_atom_site_label
_atom_site_fract_x
_atom_site_fract_y
_atom_site_fract_z
Cu1 0.0000 0.0000 0.0000
W1 0.5000 0.5000 0.5000
I1 0.0000 0.5000 0.5000
O1 0.5000 0.5000 0.0000
# Total magnetic moment in μB/cell: 2.66
# Fermi-level density of states in states/eV per cell: 0.956
# Energy relative to the lowest polymorph listed for this composition in meV/atom: 0.0

=====

[7]
# CuWI2O | the Alexandria database | PBE with a Hubbard U | relaxed
data_CuWI2O
_cell_length_a 5.6693
_cell_length_b 5.6693
_cell_length_c 3.6797
_cell_angle_alpha 90.00
_cell_angle_beta 90.00
_cell_angle_gamma 90.00
_symmetry_space_group_name_H-M 'P 4/m m m'
_symmetry_Int_Tables_number 123
_symmetry_space_group_name_Hall '-P 4 2'
loop_
_atom_site_label
_atom_site_fract_x
_atom_site_fract_y
_atom_site_fract_z
Cu1 0.0000 0.0000 0.0000
W1 0.5000 0.5000 0.5000
I1 0.0000 0.5000 0.0000
O1 0.0000 0.0000 0.5000
# Total magnetic moment in μB/cell: 3.40
# Fermi-level density of states in states/eV per cell: 3.876
# Energy relative to the lowest polymorph listed for this composition in meV/atom: 539.6

=====

Which formula does entry 3 have?
VCuIO2